[1]
Li2VCl6: optimized geometry, PBE-GGA.

Structure (POSCAR):
```
Li2VCl6
1.0
5.9343 0.0000 0.0000
0.0000 5.9343 0.0000
0.0000 0.0000 10.9983
Li V Cl
4 2 12
direct
0.0000 0.0000 0.1719 Li
0.0000 0.0000 0.8281 Li
0.5000 0.5000 0.3281 Li
0.5000 0.5000 0.6719 Li
0.0000 0.0000 0.5000 V
0.5000 0.5000 0.0000 V
0.1919 0.1919 0.3461 Cl
0.1919 0.1919 0.6539 Cl
0.2241 0.2241 0.0000 Cl
0.2759 0.7241 0.5000 Cl
0.3081 0.6919 0.1539 Cl
0.3081 0.6919 0.8461 Cl
0.6919 0.3081 0.1539 Cl
0.6919 0.3081 0.8461 Cl
0.7241 0.2759 0.5000 Cl
0.7759 0.7759 0.0000 Cl
0.8081 0.8081 0.3461 Cl
0.8081 0.8081 0.6539 Cl
```

Results
The calculation puts the energy relative to the elements, uncorrected at -1.372 eV per atom. The excess energy over the best structure of this formula in the dataset comes out at 0.0 meV per atom. Its space group is P4_2/mnm (136).



[2]
Li2V2Cl: optimized geometry, PBE-GGA.

Structure (POSCAR):
```
Li2V2Cl
1.0
-1.8112 1.8112 6.8849
1.8112 -1.8112 6.8849
1.8112 1.8112 -6.8849
Li V Cl
2 2 1
direct
0.2500 0.7500 0.5000 Li
0.7500 0.2500 0.5000 Li
0.0694 0.0694 0.0000 V
0.9306 0.9306 0.0000 V
0.5000 0.5000 0.0000 Cl
```

Results
The calculation puts the energy relative to the elements, uncorrected at 0.679 eV per atom. The excess energy over the best structure of this formula in the dataset comes out at 368.7 meV per atom. Its space group is I4/mmm (139).



[3]
Li2V2Cl7: optimized geometry, PBE-GGA.

Structure (POSCAR):
```
Li2V2Cl7
1.0
3.5732 -5.9522 0.0000
3.5732 5.9522 0.0000
-0.4362 0.0000 6.2190
Li V Cl
2 2 7
direct
0.2441 0.7559 0.0000 Li
0.7559 0.2441 0.0000 Li
0.1712 0.1712 0.6031 V
0.8288 0.8288 0.3969 V
0.0571 0.4124 0.7604 Cl
0.1132 0.1132 0.2376 Cl
0.4124 0.0571 0.7604 Cl
0.5000 0.5000 0.5000 Cl
0.5876 0.9429 0.2396 Cl
0.8868 0.8868 0.7624 Cl
0.9429 0.5876 0.2396 Cl
```

Results
The calculation puts the energy relative to the elements, uncorrected at -1.258 eV per atom. Its space group is C2/m (12).



Question: Look up the energy relative to the elements, uncorrected of the third one.
Answer: -1.258 eV per atom